K3BaZr: optimized geometry, PBE.

The structure in POSCAR format:
```
K3BaZr
1.0
6.845 0.000 0.000
0.000 6.845 0.000
0.000 0.000 6.845
K Ba Zr
3 1 1
direct
0.000 0.500 0.000
0.000 0.000 0.500
0.500 0.000 0.000
0.500 0.500 0.500
0.000 0.000 0.000
```

Output
* SG: Pm-3m, No. 221
* energy relative to the elements: 978.8 meV/atom
* energy above the most stable polymorph in this dataset: 0.000 eV/atom
* total magnetization: 4.817 μB/cell



KBaZr: optimized geometry, PBE.

The structure in POSCAR format:
```
KBaZr
1.0
9.930 -0.008 0.000
8.626 4.918 0.000
-9.278 -2.455 2.548
Ba K Zr
1 1 1
direct
0.024 0.024 0.000
0.318 0.318 0.000
0.658 0.658 0.000
```

Output
* SG: I4mm, No. 107
* energy relative to the elements: 720.8 meV/atom
* energy above the most stable polymorph in this dataset: 0.443 eV/atom
* total magnetization: 0.918 μB/cell



KBaZr: optimized geometry, PBE.

The structure in POSCAR format:
```
KBaZr
1.0
-1.024 0.464 6.101
-5.242 -2.243 2.444
0.163 -5.073 3.567
Ba K Zr
1 1 1
direct
0.000 0.000 0.000
0.500 0.500 0.500
0.750 0.750 0.750
```

Output
* SG: F-43m, No. 216
* energy relative to the elements: 1270.2 meV/atom
* energy above the most stable polymorph in this dataset: 0.992 eV/atom
* total magnetization: 4.788 μB/cell



KBaZr2: optimized geometry, PBE.

The structure in POSCAR format:
```
KBaZr2
1.0
-6.288 -1.546 2.806
3.924 -4.346 -3.939
1.448 -1.089 2.644
Ba K Zr
1 1 2
direct
0.500 0.000 0.500
0.000 0.500 0.500
0.000 0.000 0.000
0.500 0.500 0.000
```

Output
* SG: Cmmm, No. 65
* energy relative to the elements: 957.8 meV/atom
* energy above the most stable polymorph in this dataset: 0.520 eV/atom
* total magnetization: 0.933 μB/cell



Ba3La: optimized geometry, PBE.

The structure in POSCAR format:
```
Ba3La
1.0
-3.823 -1.378 1.071
0.329 -3.102 -2.817
4.996 -7.226 8.541
Ba La
3 1
direct
0.000 0.000 0.975
0.500 0.500 0.250
0.000 0.000 0.525
0.500 0.500 0.750
```

Output
* SG: P4/mmm, No. 123
* energy relative to the elements: 125.9 meV/atom
* energy above the most stable polymorph in this dataset: 0.004 eV/atom
* total magnetization: 0.000 μB/cell



Ba2La: optimized geometry, PBE.

The structure in POSCAR format:
```
Ba2La
1.0
-7.524 0.156 -0.897
3.119 -4.730 5.034
-0.887 9.004 9.010
Ba La
8 4
direct
0.000 0.000 0.000
0.000 0.000 0.500
0.827 0.654 0.250
0.173 0.346 0.750
0.346 0.173 0.250
0.827 0.173 0.250
0.173 0.827 0.750
0.654 0.827 0.750
0.333 0.667 0.033
0.667 0.333 0.533
0.667 0.333 0.967
0.333 0.667 0.467
```

Output
* SG: P6_3/mmc, No. 194
* energy relative to the elements: 415.1 meV/atom
* energy above the most stable polymorph in this dataset: 0.286 eV/atom
* total magnetization: 4.467 μB/cell



BaLa2: optimized geometry, PBE.

The structure in POSCAR format:
```
BaLa2
1.0
-4.546 -2.454 1.850
4.161 -3.302 5.845
-2.227 9.268 6.822
Ba La
4 8
direct
0.250 0.623 0.414
0.750 0.877 0.914
0.250 0.123 0.086
0.750 0.377 0.586
0.250 0.125 0.739
0.750 0.375 0.239
0.250 0.625 0.761
0.750 0.875 0.261
0.250 0.106 0.419
0.750 0.394 0.919
0.250 0.606 0.081
0.750 0.894 0.581
```

Output
* SG: Pnma, No. 62
* energy relative to the elements: 171.5 meV/atom
* energy above the most stable polymorph in this dataset: 0.073 eV/atom
* total magnetization: 0.000 μB/cell



Ba3La: optimized geometry, PBE.

The structure in POSCAR format:
```
Ba3La
1.0
7.387 -0.046 0.000
-2.558 6.930 0.000
0.000 0.000 4.162
Ba La
3 1
direct
0.000 0.500 0.500
0.500 0.000 0.500
0.500 0.500 0.000
0.000 0.000 0.000
```

Output
* SG: Cmmm, No. 65
* energy relative to the elements: 170.0 meV/atom
* energy above the most stable polymorph in this dataset: 0.048 eV/atom
* total magnetization: 0.001 μB/cell



BaLa2: optimized geometry, PBE.

The structure in POSCAR format:
```
BaLa2
1.0
1.932 7.641 -0.002
-1.932 7.641 -0.002
0.000 2.243 8.846
Ba La
2 4
direct
0.024 0.024 0.203
0.976 0.976 0.797
0.342 0.342 0.527
0.713 0.713 0.849
0.287 0.287 0.151
0.658 0.658 0.473
```

Output
* SG: C2/m, No. 12
* energy relative to the elements: 136.3 meV/atom
* energy above the most stable polymorph in this dataset: 0.038 eV/atom
* total magnetization: 0.000 μB/cell



Ba5La: optimized geometry, PBE.

The structure in POSCAR format:
```
Ba5La
1.0
6.952 7.341 -5.532
-7.639 -8.505 1.465
-5.241 4.631 -0.441
Ba La
5 1
direct
0.995 0.005 0.000
0.665 0.335 0.000
0.336 0.664 0.000
0.550 0.450 0.500
0.231 0.769 0.500
0.890 0.110 0.500
```

Output
* SG: Amm2, No. 38
* energy relative to the elements: 111.0 meV/atom
* energy above the most stable polymorph in this dataset: 0.005 eV/atom
* total magnetization: 0.024 μB/cell



Ba4La: optimized geometry, PBE.

The structure in POSCAR format:
```
Ba4La
1.0
-4.340 4.340 4.340
4.340 -4.340 4.340
4.340 4.340 -4.340
Ba La
4 1
direct
0.500 0.000 0.000
0.500 0.500 0.500
0.000 0.500 0.000
0.000 0.000 0.500
0.000 0.000 0.000
```

Output
* SG: Im-3m, No. 229
* energy relative to the elements: 445.3 meV/atom
* energy above the most stable polymorph in this dataset: 0.065 eV/atom
* total magnetization: 0.001 μB/cell



Ba3La: optimized geometry, PBE.

The structure in POSCAR format:
```
Ba3La
1.0
-7.265 2.544 -3.015
2.763 -6.190 -4.733
-3.146 -4.376 3.887
Ba La
6 2
direct
0.124 0.876 0.750
0.876 0.124 0.250
0.614 0.873 0.750
0.386 0.127 0.250
0.873 0.614 0.250
0.127 0.386 0.750
0.609 0.391 0.750
0.391 0.609 0.250
```

Output
* SG: Cmcm, No. 63
* energy relative to the elements: 156.0 meV/atom
* energy above the most stable polymorph in this dataset: 0.034 eV/atom
* total magnetization: 0.000 μB/cell



Ba3La: optimized geometry, PBE.

The structure in POSCAR format:
```
Ba3La
1.0
-1.160 -7.189 0.641
1.720 -6.707 -2.342
5.322 -1.675 4.867
Ba La
3 1
direct
0.500 0.500 0.500
0.742 0.742 0.763
0.258 0.258 0.237
0.000 0.000 0.000
```

Output
* SG: C2/m, No. 12
* energy relative to the elements: 158.6 meV/atom
* energy above the most stable polymorph in this dataset: 0.036 eV/atom
* total magnetization: 0.008 μB/cell



Ba2La: optimized geometry, PBE.

The structure in POSCAR format:
```
Ba2La
1.0
5.750 -9.960 0.000
5.750 9.960 0.000
0.000 0.000 4.014
Ba La
6 3
direct
0.306 0.000 0.000
0.000 0.306 0.000
0.694 0.694 0.000
0.642 0.000 0.500
0.000 0.642 0.500
0.358 0.358 0.500
0.333 0.667 0.000
0.667 0.333 0.000
0.000 0.000 0.500
```

Output
* SG: P-62m, No. 189
* energy relative to the elements: 214.2 meV/atom
* energy above the most stable polymorph in this dataset: 0.085 eV/atom
* total magnetization: 0.001 μB/cell



Ba3La: optimized geometry, PBE.

The structure in POSCAR format:
```
Ba3La
1.0
-0.475 4.517 7.163
4.303 -7.308 -0.128
11.449 6.803 -3.531
Ba La
12 4
direct
0.500 0.000 0.000
0.500 0.000 0.500
0.000 0.500 0.000
0.500 0.500 0.000
0.500 0.500 0.500
0.000 0.500 0.500
0.837 0.675 0.250
0.163 0.325 0.750
0.325 0.163 0.250
0.837 0.163 0.250
0.163 0.837 0.750
0.675 0.837 0.750
0.000 0.000 0.000
0.000 0.000 0.500
0.333 0.667 0.250
0.667 0.333 0.750
```

Output
* SG: P6_3/mmc, No. 194
* energy relative to the elements: 179.9 meV/atom
* energy above the most stable polymorph in this dataset: 0.058 eV/atom
* total magnetization: 0.111 μB/cell



BaLa2: optimized geometry, PBE.

The structure in POSCAR format:
```
BaLa2
1.0
4.324 0.000 0.000
-2.162 3.745 0.000
0.000 0.000 8.247
Ba La
1 2
direct
0.000 0.000 0.000
0.667 0.333 0.597
0.333 0.667 0.403
```

Output
* SG: P-3m1, No. 164
* energy relative to the elements: 352.8 meV/atom
* energy above the most stable polymorph in this dataset: 0.255 eV/atom
* total magnetization: 0.000 μB/cell



Ba3La: optimized geometry, PBE.

The structure in POSCAR format:
```
Ba3La
1.0
-2.424 3.735 6.615
4.112 -1.319 6.703
0.266 2.680 -7.505
Ba La
3 1
direct
0.012 0.012 0.000
0.750 0.250 0.500
0.488 0.488 0.000
0.250 0.750 0.500
```

Output
* SG: Immm, No. 71
* energy relative to the elements: 154.4 meV/atom
* energy above the most stable polymorph in this dataset: 0.032 eV/atom
* total magnetization: 0.000 μB/cell



Ba2La: optimized geometry, PBE.

The structure in POSCAR format:
```
Ba2La
1.0
-2.379 -7.904 -1.798
8.074 -2.477 0.203
-0.717 -1.662 8.252
Ba La
8 4
direct
0.643 0.643 0.357
0.357 0.357 0.643
0.143 0.857 0.643
0.857 0.143 0.357
0.357 0.143 0.143
0.643 0.857 0.857
0.857 0.357 0.857
0.143 0.643 0.143
0.000 0.000 0.000
0.500 0.500 0.000
0.500 0.000 0.500
0.000 0.500 0.500
```

Output
* SG: Pa-3, No. 205
* energy relative to the elements: 573.3 meV/atom
* energy above the most stable polymorph in this dataset: 0.444 eV/atom
* total magnetization: 0.000 μB/cell



Ba4La: optimized geometry, PBE.

The structure in POSCAR format:
```
Ba4La
1.0
-4.668 -2.245 4.254
-3.616 -2.270 -5.167
3.171 -5.893 0.370
Ba La
4 1
direct
0.000 0.000 0.000
0.500 0.000 0.500
0.000 0.500 0.500
0.500 0.500 0.000
0.500 0.500 0.500
```

Output
* SG: Pm-3m, No. 221
* energy relative to the elements: 380.0 meV/atom
* energy above the most stable polymorph in this dataset: 0.000 eV/atom
* total magnetization: 0.008 μB/cell



Ba3La: optimized geometry, PBE.

The structure in POSCAR format:
```
Ba3La
1.0
4.187 0.000 0.000
0.000 5.956 0.000
0.000 0.000 8.569
Ba La
3 1
direct
0.500 0.500 0.766
0.000 0.000 0.500
0.500 0.500 0.234
0.000 0.000 0.000
```

Output
* SG: Pmmm, No. 47
* energy relative to the elements: 156.0 meV/atom
* energy above the most stable polymorph in this dataset: 0.034 eV/atom
* total magnetization: 0.000 μB/cell



BaLa4: optimized geometry, PBE.

The structure in POSCAR format:
```
BaLa4
1.0
-3.963 -2.804 -3.529
2.430 -5.287 1.471
-3.796 -0.457 4.626
Ba La
1 4
direct
0.500 0.500 0.500
0.000 0.000 0.000
0.500 0.000 0.500
0.000 0.500 0.500
0.500 0.500 0.000
```

Output
* SG: Pm-3m, No. 221
* energy relative to the elements: 694.8 meV/atom
* total magnetization: 0.029 μB/cell



Ba3La: optimized geometry, PBE.

The structure in POSCAR format:
```
Ba3La
1.0
-3.768 1.137 -6.537
0.189 -7.496 -1.413
-6.633 -0.859 3.673
Ba La
6 2
direct
0.750 0.500 0.000
0.250 0.500 0.000
0.000 0.750 0.500
0.000 0.250 0.500
0.500 0.000 0.250
0.500 0.000 0.750
0.000 0.000 0.000
0.500 0.500 0.500
```

Output
* SG: Pm-3n, No. 223
* energy relative to the elements: 252.5 meV/atom
* energy above the most stable polymorph in this dataset: 0.130 eV/atom
* total magnetization: 2.676 μB/cell



Ba3La: optimized geometry, PBE.

The structure in POSCAR format:
```
Ba3La
1.0
-1.204 -1.826 -3.632
4.122 0.504 0.855
0.239 -12.380 6.144
Ba La
3 1
direct
0.000 0.000 0.980
0.000 0.000 0.520
0.667 0.333 0.250
0.667 0.333 0.750
```

Output
* SG: P-6m2, No. 187
* energy relative to the elements: 122.2 meV/atom
* energy above the most stable polymorph in this dataset: 0.000 eV/atom
* total magnetization: 0.001 μB/cell



Ba3La: optimized geometry, PBE.

The structure in POSCAR format:
```
Ba3La
1.0
-0.788 -5.137 -2.956
4.720 -2.348 2.823
-3.586 -1.961 4.364
Ba La
3 1
direct
0.000 0.500 0.500
0.500 0.000 0.500
0.500 0.500 0.000
0.000 0.000 0.000
```

Output
* SG: Pm-3m, No. 221
* energy relative to the elements: 181.9 meV/atom
* energy above the most stable polymorph in this dataset: 0.060 eV/atom
* total magnetization: 0.004 μB/cell



Ba7La6: optimized geometry, PBE.

The structure in POSCAR format:
```
Ba7La6
1.0
-8.270 -6.098 8.892
-4.835 -11.586 5.198
-1.357 -8.123 10.808
Ba La
7 6
direct
0.921 0.412 0.412
0.412 0.412 0.921
0.412 0.921 0.412
0.079 0.588 0.588
0.588 0.079 0.588
0.588 0.588 0.079
0.500 0.500 0.500
0.959 0.959 0.959
0.041 0.041 0.041
0.853 0.853 0.853
0.147 0.147 0.147
0.668 0.668 0.668
0.332 0.332 0.332
```

Output
* SG: R-3m, No. 166
* energy relative to the elements: 408.7 meV/atom
* total magnetization: 1.741 μB/cell



Ba2La: optimized geometry, PBE.

The structure in POSCAR format:
```
Ba2La
1.0
-6.442 1.528 -9.324
3.271 -4.046 10.184
-3.139 4.973 2.984
Ba La
4 2
direct
0.624 0.376 0.750
0.941 0.059 0.750
0.059 0.941 0.250
0.376 0.624 0.250
0.275 0.725 0.750
0.725 0.275 0.250
```

Output
* SG: Cmcm, No. 63
* energy relative to the elements: 148.4 meV/atom
* energy above the most stable polymorph in this dataset: 0.019 eV/atom
* total magnetization: 0.015 μB/cell